# BaHoZn2Au5 (GGA-PBE, optimized geometry)
# Formation energy, meV/atom: -440
# Total moment, μB per formula unit: 0.000
# Crystal system: tetragonal
data_BaHoZn2Au5
_chemical_formula_sum 'Ba1 Ho1 Zn2 Au5'
_cell_length_a 5.0580
_cell_length_b 5.0580
_cell_length_c 8.2031
_cell_angle_alpha 90.00
_cell_angle_beta 90.00
_cell_angle_gamma 90.00
_symmetry_space_group_name_H-M 'P 1'
_symmetry_Int_Tables_number 1
loop_
_symmetry_equiv_pos_as_xyz
'x,y,z'
loop_
_atom_site_label
_atom_site_fract_x
_atom_site_fract_y
_atom_site_fract_z
_atom_site_occupancy
Au1 0.5000 0.5000 0.5000 1
Au2 0.0000 0.5000 0.7991 1
Au3 0.0000 0.5000 0.2009 1
Au4 0.5000 0.0000 0.7991 1
Au5 0.5000 0.0000 0.2009 1
Ba1 0.0000 0.0000 0.5000 1
Zn1 0.5000 0.5000 0.1716 1
Zn2 0.5000 0.5000 0.8284 1
Ho1 0.0000 0.0000 0.0000 1